1.
VASP calculation (PBE) on crystalline Ca5CeSb4 at its relaxed geometry.

## Properties
theoretical density	3.773	g/cm3
formation energy from raw total energies	-872	meV per atom
D(E_F)	1.029	states/eV/atom

Lattice parameters (Å, degrees): 4.7661 8.4895 18.0040 90.00 90.00 90.00
With the nearest neighbours (Å) after each atom.
Space group Immm (No. 71)
Asymmetric unit:
Ca (0.0000, 0.0000, 0.0000) x2  4 Sb 3.16
Ca (0.0000, 0.2318, 0.3317) x8  4 Sb 3.04-3.25
Ce (0.0000, 0.5000, 0.0000) x2  4 Sb 3.23
Sb (0.0000, 0.2564, 0.5000) x4  4 Ca 3.04-3.16, 2 Ce 3.23
Sb (0.0000, 0.5000, 0.2031) x4  6 Ca 3.15-3.25

2.
VASP calculation (PBE) on crystalline CaCeSb2 at its relaxed geometry.

## Properties
theoretical density	5.344	g/cm3
formation energy from raw total energies	-924	meV per atom
D(E_F)	0.311	states/eV/atom

Lattice parameters (Å, degrees): 4.5078 4.5078 22.4443 90.00 90.00 120.00
With the nearest neighbours (Å) after each atom.
Space group R3m (No. 160, hexagonal axes)
Asymmetric unit:
Ca (0.0000, 0.0000, 0.0000) x3  6 Sb 3.23-3.31
Ce (0.0000, 0.0000, 0.1712) x3  6 Sb 3.13-3.16
Sb (0.0000, 0.0000, 0.5817) x3  3 Ce 3.13, 3 Ca 3.23
Sb (0.0000, 0.0000, 0.7580) x3  3 Ce 3.16, 3 Ca 3.31

What is the formula in the first record? Ca5CeSb4